[1]
The following is a PBE-GGA calculation of a relaxed structure of MgW3, from the Alexandria database.

abc: 5.3661 5.3661 5.3661
angles: 117.24 117.24 117.24
Positions (direct):
Mg  0.5000  0.0000  0.5000
W  0.0000  0.0000  0.0000
W  0.0000  0.5000  0.5000
W  0.5000  0.5000  0.0000

Summary:
Formation energy from the elements   30 kJ per mole of atoms
E above lowest polymorph   83 meV/atom
Theoretical density   14.59 Mg/m³

---

[2]
The following is a PBE-GGA calculation of a relaxed structure of Mg2W, from the Alexandria database.

abc: 7.9313 7.9313 4.9438
angles: 90.00 90.00 159.64
Positions (direct):
Mg  0.5551  0.4449  0.7500
Mg  0.7770  0.2230  0.2500
Mg  0.2230  0.7770  0.7500
Mg  0.4449  0.5551  0.2500
W  0.8927  0.1073  0.7500
W  0.1073  0.8927  0.2500

Summary:
Formation energy from the elements   58 kJ per mole of atoms
E above lowest polymorph   262 meV/atom
Theoretical density   7.13 Mg/m³

---

[3]
The following is a PBE-GGA calculation of a relaxed structure of MgW3, from the Alexandria database.

abc: 2.7597 2.7597 9.2549
angles: 90.00 90.00 108.63
Positions (direct):
Mg  0.5000  0.5000  0.2500
W  0.0000  0.0000  0.9899
W  0.0000  0.0000  0.5101
W  0.5000  0.5000  0.7500

Summary:
Formation energy from the elements   22 kJ per mole of atoms
E above lowest polymorph   0 meV/atom
Theoretical density   14.32 Mg/m³

---

[4]
The following is a PBE-GGA calculation of a relaxed structure of MgW, from the Alexandria database.

abc: 5.2690 5.2690 5.2690
angles: 142.02 126.28 67.67
Positions (direct):
Mg  0.4966  0.4966  0.0000
Mg  0.7534  0.2534  0.5000
W  0.0209  0.0209  0.0000
W  0.2291  0.7291  0.5000

Summary:
Formation energy from the elements   48 kJ per mole of atoms
E above lowest polymorph   239 meV/atom
Theoretical density   9.67 Mg/m³

---

Final energy for the records above, in order: -9.80, -4.78, -9.88, -6.77 eV per atom